# GGA-PBEsol LaAlBiO2, relaxed
data_LaAlBiO2
_space_group_name_H-M_alt 'P 4/m m m'
_space_group_IT_number 123
_space_group_name_Hall '-P 4 2'
_cell_length_a 4.041
_cell_length_b 4.041
_cell_length_c 6.990
_cell_angle_alpha 90.00
_cell_angle_beta 90.00
_cell_angle_gamma 90.00
loop_
_atom_site_label
_atom_site_fract_x
_atom_site_fract_y
_atom_site_fract_z
_atom_site_occupancy
La1 0.000 0.000 0.000 1
Al1 0.000 0.000 0.500 1
Bi1 0.500 0.500 0.000 1
O1 0.000 0.500 0.500 1
# ΔE_f (raw) ... -473.9 meV per atom
# Energy ... -5.3183 eV per atom
# Spin magnetization ... 0.098 μB per atom


# GGA-PBEsol LaAlTcBi2, relaxed
data_LaAlTcBi2
_space_group_name_H-M_alt 'P 4/m m m'
_space_group_IT_number 123
_space_group_name_Hall '-P 4 2'
_cell_length_a 5.259
_cell_length_b 5.259
_cell_length_c 5.530
_cell_angle_alpha 90.00
_cell_angle_beta 90.00
_cell_angle_gamma 90.00
loop_
_atom_site_label
_atom_site_fract_x
_atom_site_fract_y
_atom_site_fract_z
_atom_site_occupancy
La1 0.000 0.000 0.000 1
Al1 0.000 0.000 0.500 1
Tc1 0.500 0.500 0.000 1
Bi1 0.000 0.500 0.500 1
# E_form ... 1104 meV per atom
# Energy ... -4.7505 eV per atom
# Spin magnetization ... 0.690 μB per atom


# GGA-PBEsol Li2AlBiTe, relaxed
data_Li2AlBiTe
_space_group_name_H-M_alt 'P 4/m m m'
_space_group_IT_number 123
_space_group_name_Hall '-P 4 2'
_cell_length_a 4.890
_cell_length_b 4.890
_cell_length_c 6.261
_cell_angle_alpha 90.00
_cell_angle_beta 90.00
_cell_angle_gamma 90.00
loop_
_atom_site_label
_atom_site_fract_x
_atom_site_fract_y
_atom_site_fract_z
_atom_site_occupancy
Li1 0.000 0.500 0.000 1
Al1 0.000 0.000 0.500 1
Bi1 0.500 0.500 0.500 1
Te1 0.500 0.500 0.000 1
# ΔE_f (raw) ... 63.1 meV per atom
# Energy ... -3.1042 eV per atom
# E above lowest polymorph ... 122 meV/atom
# Spin magnetization ... 0.000 μB per atom


# GGA-PBEsol Li2AlBiTe, relaxed
data_Li2AlBiTe
_space_group_name_H-M_alt 'P 4/m m m'
_space_group_IT_number 123
_space_group_name_Hall '-P 4 2'
_cell_length_a 4.862
_cell_length_b 4.862
_cell_length_c 5.559
_cell_angle_alpha 90.00
_cell_angle_beta 90.00
_cell_angle_gamma 90.00
loop_
_atom_site_label
_atom_site_fract_x
_atom_site_fract_y
_atom_site_fract_z
_atom_site_occupancy
Li1 0.000 0.500 0.000 1
Al1 0.000 0.000 0.500 1
Bi1 0.500 0.500 0.500 1
Te1 0.000 0.000 0.000 1
# ΔE_f (raw) ... -59.2 meV per atom
# Energy ... -3.2265 eV per atom
# E above lowest polymorph ... 0 meV/atom
# Spin magnetization ... 0.000 μB per atom